1.
A relaxed structure of Cu2PtCl. Source: Alexandria, functional PBE.

Computed properties:
Its uncorrected formation energy is 257 meV per atom. As for the total energy: -3.76 eV/atom. The calculation puts the density at 9.90 g/cm3. The density of states at the Fermi level is 1.14 states/eV per atom. The energy above the most stable polymorph in this dataset is 300 meV/atom.

a b c (Å): 4.5805 4.5805 2.8591
angles (deg): 90.00 90.00 90.00
Sites, in units of the cell vectors:
Cu (0.0000, 0.5000, 0.0000)
Cu (0.5000, 0.0000, 0.0000)
Pt (0.0000, 0.0000, 0.5000)
Cl (0.5000, 0.5000, 0.5000)

2.
A relaxed structure of SmEr3Tm. Source: Alexandria, functional PBE.

Computed properties:
As for the calculated formation energy: 304 meV/atom. As for the total energy: -4.27 eV/atom. The calculation puts the density at 8.03 g/cm3. The density of states at the Fermi level is 1.59 states/eV per atom. The energy above the most stable polymorph in this dataset is 299 meV/atom.

a b c (Å): 3.5852 11.4663 8.4528
angles (deg): 90.00 102.14 90.00
Sites, in units of the cell vectors:
Sm (0.0060, 0.2500, 0.4910)
Sm (0.9940, 0.7500, 0.5090)
Er (0.1578, 0.0003, 0.8130)
Er (0.1578, 0.4997, 0.8130)
Er (0.3257, 0.2500, 0.1462)
Er (0.6743, 0.7500, 0.8538)
Er (0.8422, 0.9997, 0.1870)
Er (0.8422, 0.5003, 0.1870)
Tm (0.3309, 0.7500, 0.1701)
Tm (0.6691, 0.2500, 0.8299)

3.
A relaxed structure of Tm2In5Ni3. Source: Alexandria, functional PBE.

Computed properties:
As for the calculated formation energy: -352 meV/atom. As for the total energy: -4.35 eV/atom. The calculation puts the density at 9.06 g/cm3. The density of states at the Fermi level is 0.61 states/eV per atom.

a b c (Å): 13.1859 13.1859 7.1186
angles (deg): 90.00 90.00 161.20
Sites, in units of the cell vectors:
Tm (0.0244, 0.9756, 0.5000)
Tm (0.3256, 0.6744, 0.5854)
Tm (0.6744, 0.3256, 0.0854)
Tm (0.9756, 0.0244, 0.0000)
In (0.0955, 0.9045, 0.8785)
In (0.2068, 0.7932, 0.3809)
In (0.2092, 0.7908, 0.7920)
In (0.3754, 0.6246, 0.0336)
In (0.4471, 0.5529, 0.6693)
In (0.5529, 0.4471, 0.1693)
In (0.6246, 0.3754, 0.5336)
In (0.7908, 0.2092, 0.2920)
In (0.7932, 0.2068, 0.8809)
In (0.9045, 0.0955, 0.3785)
Ni (0.1110, 0.8890, 0.2575)
Ni (0.2710, 0.7290, 0.0885)
Ni (0.4566, 0.5434, 0.2776)
Ni (0.5434, 0.4566, 0.7776)
Ni (0.7290, 0.2710, 0.5885)
Ni (0.8890, 0.1110, 0.7575)

4.
A relaxed structure of Ce2AgHg2. Source: Alexandria, functional PBE.

Computed properties:
As for the calculated formation energy: -240 meV/atom. As for the total energy: -3.30 eV/atom. The calculation puts the density at 10.26 g/cm3. The density of states at the Fermi level is 2.08 states/eV per atom. The energy above the most stable polymorph in this dataset is 0 meV/atom.

a b c (Å): 5.9448 5.9448 10.1605
angles (deg): 108.87 108.87 49.59
Sites, in units of the cell vectors:
Ce (0.0324, 0.0324, 0.3533)
Ce (0.1378, 0.1378, 0.0893)
Ce (0.8622, 0.8622, 0.9107)
Ce (0.9676, 0.9676, 0.6467)
Ag (0.2780, 0.2780, 0.6753)
Ag (0.7220, 0.7220, 0.3247)
Hg (0.3574, 0.3574, 0.4096)
Hg (0.4475, 0.4475, 0.1293)
Hg (0.5525, 0.5525, 0.8707)
Hg (0.6426, 0.6426, 0.5904)

5.
A relaxed structure of Sc5C. Source: Alexandria, functional PBE.

Computed properties:
As for the calculated formation energy: 352 meV/atom. As for the total energy: -6.46 eV/atom. The calculation puts the density at 3.04 g/cm3. The density of states at the Fermi level is 1.09 states/eV per atom. The energy above the most stable polymorph in this dataset is 393 meV/atom.

a b c (Å): 4.1638 8.2330 8.2330
angles (deg): 27.26 90.00 90.00
Sites, in units of the cell vectors:
Sc (0.0000, 0.0000, 0.0000)
Sc (0.0000, 0.3117, 0.3117)
Sc (0.0000, 0.6658, 0.6658)
Sc (0.5000, 0.1570, 0.1570)
Sc (0.5000, 0.4749, 0.4749)
C (0.5000, 0.7324, 0.7324)

6.
A relaxed structure of TiH6Pd12. Source: Alexandria, functional PBE.

Computed properties:
As for the total energy: -4.92 eV/atom. The calculation puts the density at 9.98 g/cm3. The density of states at the Fermi level is 0.49 states/eV per atom.

a b c (Å): 6.5992 6.5992 6.5992
angles (deg): 109.45 109.45 109.45
Sites, in units of the cell vectors:
Ti (0.0000, 0.0000, 0.0000)
H (0.1391, 0.5227, 0.3585)
H (0.3585, 0.1391, 0.5227)
H (0.4773, 0.6415, 0.8609)
H (0.5227, 0.3585, 0.1391)
H (0.6415, 0.8609, 0.4773)
H (0.8609, 0.4773, 0.6415)
Pd (0.1201, 0.8159, 0.3054)
Pd (0.1803, 0.3034, 0.4884)
Pd (0.1841, 0.6946, 0.8799)
Pd (0.3034, 0.4884, 0.1803)
Pd (0.3054, 0.1201, 0.8159)
Pd (0.4884, 0.1803, 0.3034)
Pd (0.5116, 0.8197, 0.6966)
Pd (0.6946, 0.8799, 0.1841)
Pd (0.6966, 0.5116, 0.8197)
Pd (0.8159, 0.3054, 0.1201)
Pd (0.8197, 0.6966, 0.5116)
Pd (0.8799, 0.1841, 0.6946)

7.
A relaxed structure of Nb3TlRe. Source: Alexandria, functional PBE.

Computed properties:
As for the calculated formation energy: 1019 meV/atom. As for the total energy: -7.99 eV/atom. The calculation puts the density at 9.48 g/cm3. The density of states at the Fermi level is 0.70 states/eV per atom. The energy above the most stable polymorph in this dataset is 0 meV/atom.

a b c (Å): 4.8946 4.8946 4.8946
angles (deg): 90.00 90.00 90.00
Sites, in units of the cell vectors:
Nb (0.0000, 0.0000, 0.5000)
Nb (0.0000, 0.5000, 0.0000)
Nb (0.5000, 0.0000, 0.0000)
Tl (0.5000, 0.5000, 0.5000)
Re (0.0000, 0.0000, 0.0000)

8.
A relaxed structure of SrScBr2. Source: Alexandria, functional PBE.

Computed properties:
Its uncorrected formation energy is -988 meV per atom. As for the total energy: -3.83 eV/atom. The calculation puts the density at 3.94 g/cm3. The density of states at the Fermi level is 0.88 states/eV per atom. The energy above the most stable polymorph in this dataset is 130 meV/atom.

a b c (Å): 6.2053 6.2053 6.2053
angles (deg): 144.80 113.89 77.17
Sites, in units of the cell vectors:
Sr (0.0000, 0.0000, 0.0000)
Sc (0.5000, 0.5000, 0.0000)
Br (0.2919, 0.7919, 0.5000)
Br (0.7081, 0.2081, 0.5000)

9.
A relaxed structure of K2PAu. Source: Alexandria, functional PBE.

Computed properties:
As for the calculated formation energy: -491 meV/atom. As for the total energy: -3.21 eV/atom. The calculation puts the density at 4.40 g/cm3.

a b c (Å): 6.1694 6.1694 6.3306
angles (deg): 90.00 90.00 73.65
Sites, in units of the cell vectors:
K (0.0281, 0.3190, 0.2500)
K (0.3190, 0.0281, 0.7500)
K (0.6810, 0.9719, 0.2500)
K (0.9719, 0.6810, 0.7500)
P (0.2518, 0.7482, 0.2500)
P (0.7482, 0.2518, 0.7500)
Au (0.5000, 0.5000, 0.0000)
Au (0.5000, 0.5000, 0.5000)

10.
A relaxed structure of PmPr2Tm3. Source: Alexandria, functional PBE.

Computed properties:
As for the calculated formation energy: 125 meV/atom. As for the total energy: -4.50 eV/atom. The calculation puts the density at 7.74 g/cm3. The density of states at the Fermi level is 1.48 states/eV per atom. The energy above the most stable polymorph in this dataset is 4 meV/atom.

a b c (Å): 11.8582 11.8582 10.2975
angles (deg): 108.40 108.40 16.98
Sites, in units of the cell vectors:
Pm (0.1887, 0.1887, 0.0355)
Pm (0.8113, 0.8113, 0.9645)
Pr (0.1893, 0.1893, 0.3735)
Pr (0.4328, 0.4328, 0.8654)
Pr (0.5672, 0.5672, 0.1346)
Pr (0.8107, 0.8107, 0.6265)
Tm (0.0576, 0.0576, 0.4457)
Tm (0.1940, 0.1940, 0.7139)
Tm (0.4300, 0.4300, 0.2426)
Tm (0.5700, 0.5700, 0.7574)
Tm (0.8060, 0.8060, 0.2861)
Tm (0.9424, 0.9424, 0.5543)

11.
A relaxed structure of KPt2Au3. Source: Alexandria, functional PBE.

Computed properties:
As for the calculated formation energy: -108 meV/atom. As for the total energy: -3.94 eV/atom. The calculation puts the density at 12.22 g/cm3. The density of states at the Fermi level is 0.63 states/eV per atom.

a b c (Å): 7.1417 7.1417 5.5467
angles (deg): 90.00 90.00 78.55
Sites, in units of the cell vectors:
K (0.1712, 0.8288, 0.7500)
K (0.8288, 0.1712, 0.2500)
Pt (0.2913, 0.2913, 0.0000)
Pt (0.2913, 0.2913, 0.5000)
Pt (0.7087, 0.7087, 0.0000)
Pt (0.7087, 0.7087, 0.5000)
Au (0.0274, 0.5495, 0.2500)
Au (0.4261, 0.5739, 0.2500)
Au (0.4505, 0.9726, 0.2500)
Au (0.5495, 0.0274, 0.7500)
Au (0.5739, 0.4261, 0.7500)
Au (0.9726, 0.4505, 0.7500)

12.
A relaxed structure of Na2In2Pb. Source: Alexandria, functional PBE.

Computed properties:
As for the calculated formation energy: -108 meV/atom. As for the total energy: -2.47 eV/atom. The calculation puts the density at 5.87 g/cm3. The density of states at the Fermi level is 0.42 states/eV per atom. The energy above the most stable polymorph in this dataset is 0 meV/atom.

a b c (Å): 5.7896 5.7896 7.4329
angles (deg): 128.38 128.38 48.52
Sites, in units of the cell vectors:
Na (0.2042, 0.2042, 0.3039)
Na (0.7958, 0.7958, 0.6961)
In (0.3932, 0.3932, 0.0858)
In (0.6068, 0.6068, 0.9142)
Pb (0.0000, 0.0000, 0.5000)

13.
A relaxed structure of ZrInPb. Source: Alexandria, functional PBE.

Computed properties:
As for the calculated formation energy: 247 meV/atom. As for the total energy: -4.75 eV/atom. The calculation puts the density at 7.88 g/cm3. The density of states at the Fermi level is 0.92 states/eV per atom. The energy above the most stable polymorph in this dataset is 336 meV/atom.

a b c (Å): 4.9758 4.9758 4.9758
angles (deg): 60.00 60.00 60.00
Sites, in units of the cell vectors:
Zr (0.0000, 0.0000, 0.0000)
In (0.7500, 0.7500, 0.7500)
Pb (0.2500, 0.2500, 0.2500)

14.
A relaxed structure of Ce2ScPaSb4. Source: Alexandria, functional PBE.

Computed properties:
Its uncorrected formation energy is -855 meV per atom. As for the total energy: -6.38 eV/atom. The calculation puts the density at 7.24 g/cm3. The density of states at the Fermi level is 2.30 states/eV per atom.

a b c (Å): 7.5796 4.3944 7.6199
angles (deg): 90.00 109.47 90.00
Sites, in units of the cell vectors:
Ce (0.0000, 0.0000, 0.0000)
Ce (0.5000, 0.5000, 0.0000)
Sc (0.0000, 0.5000, 0.5000)
Pa (0.5000, 0.0000, 0.5000)
Sb (0.2378, 0.0000, 0.7323)
Sb (0.2466, 0.5000, 0.2628)
Sb (0.7534, 0.5000, 0.7372)
Sb (0.7622, 0.0000, 0.2677)

15.
A relaxed structure of TlSiPd3. Source: Alexandria, functional PBE.

Computed properties:
Its uncorrected formation energy is -89 meV per atom. As for the total energy: -4.76 eV/atom. The calculation puts the density at 9.50 g/cm3. The density of states at the Fermi level is 0.61 states/eV per atom. The energy above the most stable polymorph in this dataset is 0 meV/atom.

a b c (Å): 4.5861 4.5861 4.5861
angles (deg): 90.00 90.00 90.00
Sites, in units of the cell vectors:
Tl (0.0000, 0.0000, 0.0000)
Si (0.5000, 0.5000, 0.5000)
Pd (0.0000, 0.5000, 0.5000)
Pd (0.5000, 0.0000, 0.5000)
Pd (0.5000, 0.5000, 0.0000)

16.
A relaxed structure of Sm5Cd2Sn. Source: Alexandria, functional PBE.

Computed properties:
As for the calculated formation energy: -343 meV/atom. As for the total energy: -4.02 eV/atom. The calculation puts the density at 7.62 g/cm3. The density of states at the Fermi level is 1.01 states/eV per atom.

a b c (Å): 8.9310 8.9310 8.9310
angles (deg): 123.15 123.15 84.62
Sites, in units of the cell vectors:
Sm (0.0000, 0.0000, 0.0000)
Sm (0.0048, 0.5048, 0.8143)
Sm (0.1905, 0.0048, 0.5000)
Sm (0.3095, 0.8095, 0.8143)
Sm (0.4952, 0.3095, 0.5000)
Sm (0.5000, 0.5000, 0.0000)
Sm (0.5048, 0.6905, 0.5000)
Sm (0.6905, 0.1905, 0.1857)
Sm (0.8095, 0.9952, 0.5000)
Sm (0.9952, 0.4952, 0.1857)
Cd (0.1351, 0.3649, 0.5000)
Cd (0.3649, 0.8649, 0.2299)
Cd (0.6351, 0.1351, 0.7701)
Cd (0.8649, 0.6351, 0.5000)
Sn (0.2500, 0.2500, 0.0000)
Sn (0.7500, 0.7500, 0.0000)